No. 1
VASP calculation (PBE-GGA) on an optimized crystal structure of NdEuNi.

DOS(E_F)   5.11 states/eV/f.u.
Formation enthalpy at 0 K   -112 meV per atom
DFT total energy   -21.16 eV/cell

Unit cell a=3.5607 b=3.5607 c=6.9481 alpha=104.85 beta=104.85 gamma=90.00
Closest atoms and distances in Å follow each position.
Fractional coordinates of all 3 atoms:
Eu 0.0328 0.0328 0.0655  4 Ni 3.14, 1 Nd 3.33
Nd 0.2899 0.2899 0.5799  4 Ni 2.91
Ni 0.6773 0.6773 0.3546  4 Nd 2.91, 4 Eu 3.14



No. 2
VASP calculation (PBE-GGA) on an optimized crystal structure of YCdP.

DOS(E_F)   1.03 states/eV/f.u.
Formation enthalpy at 0 K   -754 meV per atom
DFT total energy   -60.20 eV/cell

Unit cell a=5.6112 b=7.9054 c=7.9056 alpha=65.09 beta=69.67 gamma=69.67
Closest atoms and distances in Å follow each position.
Fractional coordinates of all 12 atoms:
P 0.6514 0.4663 0.7162  3 Cd 2.74-2.91, 4 Y 2.79-2.88
P 0.3486 0.5337 0.2838  3 Cd 2.74-2.91, 4 Y 2.79-2.88
P 0.6515 0.9662 0.2162  3 Cd 2.74-2.91, 4 Y 2.79-2.88
P 0.3485 0.0338 0.7838  3 Cd 2.74-2.91, 4 Y 2.79-2.88
Y 0.8074 0.5673 0.3174  4 P 2.79-2.88
Y 0.8073 0.0675 0.8174  4 P 2.79-2.88
Y 0.1926 0.4327 0.6826  4 P 2.79-2.88
Y 0.1927 0.9325 0.1826  4 P 2.79-2.88
Cd 0.7764 0.8359 0.5858  3 P 2.74-2.91
Cd 0.2234 0.6642 0.9142  3 P 2.74-2.91
Cd 0.2236 0.1641 0.4142  3 P 2.74-2.91
Cd 0.7766 0.3358 0.0858  3 P 2.74-2.91



No. 3
VASP calculation (PBE-GGA) on an optimized crystal structure of Sc3InSi.

DOS(E_F)   0.53 states/eV/f.u.
Energy relative to the elements, uncorrected   -1.49 eV/f.u.
DFT total energy   -28.64 eV/cell

Unit cell a=4.9973 b=4.9973 c=4.9973 alpha=90.00 beta=90.00 gamma=90.00
Closest atoms and distances in Å follow each position.
Fractional coordinates of all 5 atoms:
Sc 0.0000 0.5000 0.0000  2 Si 2.50
Sc 0.5000 0.0000 0.0000  2 Si 2.50
Sc 0.0000 0.0000 0.5000  2 Si 2.50
Si 0.0000 0.0000 0.0000  6 Sc 2.50
In 0.5000 0.5000 0.5000  12 Sc 3.53



> Which formula does entry 1 have?

NdEuNi